# KBa2Pb2

KBa2Pb2 at its PBEsol-relaxed geometry (SCAN, the Alexandria database).

Calculated values
* density: 5.80 g cm⁻³
* E_form: -593 meV/atom
* space group: P4/mbm, No. 127
* spin magnetization: 0.1 Bohr magnetons per cell

Cell lengths 9.4111, 9.4111, 4.7075 Å; angles 90.00, 90.00, 90.00 degrees
Fractional coordinates of all 10 atoms:
K 0.0000 0.0000 0.0000
K 0.5000 0.5000 0.0000
Ba 0.1719 0.3281 0.5000
Ba 0.3281 0.8281 0.5000
Ba 0.6719 0.1719 0.5000
Ba 0.8281 0.6719 0.5000
Pb 0.1183 0.6183 0.0000
Pb 0.3817 0.1183 0.0000
Pb 0.6183 0.8817 0.0000
Pb 0.8817 0.3817 0.0000